Entry 1:
Here is Ce2Er2Mg15 after structural relaxation from the Alexandria database. Energies are from PBE-GGA.

```
19
Lattice="7.917 -0.050 -0.045 0.977 7.856 -0.045 0.977 0.858 7.809" Properties=species:S:1:pos:R:3 pbc="T T T"
Ce 3.244 2.847 2.537
Ce 6.627 5.816 5.182
Er 1.005 0.882 0.786
Er 8.866 7.782 6.934
Mg 3.958 -0.025 -0.022
Mg 0.489 0.429 3.905
Mg 0.489 3.928 -0.022
Mg 0.977 5.789 2.275
Mg 5.867 2.285 -0.045
Mg 3.027 0.589 5.489
Mg 3.027 5.521 -0.045
Mg 5.867 0.218 2.275
Mg 0.977 2.925 5.489
Mg 2.482 5.588 4.979
Mg 5.862 5.145 1.153
Mg 5.862 1.737 4.979
Mg 7.388 3.076 2.741
Mg 4.008 3.518 6.566
Mg 4.008 6.927 2.741
```

Summary:
Density of states at the Fermi level, states/eV/atom: 1.44
SG: R-3m (166)
DFT formation energy, eV per atom: 0.03

Entry 2:
Here is BaTlSCl2 after structural relaxation from the Alexandria database. Energies are from PBE-GGA.

```
5
Lattice="5.976 0.000 0.000 0.000 5.976 0.000 0.000 0.000 6.103" Properties=species:S:1:pos:R:3 pbc="T T T"
S 0.000 0.000 3.052
Tl 2.988 2.988 3.052
Ba 0.000 0.000 0.000
Cl 0.000 2.988 0.000
Cl 2.988 0.000 0.000
```

Summary:
Density of states at the Fermi level, states/eV/atom: 1.50
Distance to the lowest polymorph of the same formula, meV/atom: 102
SG: P4/mmm (123)

Entry 3:
Here is Ca2AlSi after structural relaxation from the Alexandria database. Energies are from PBE-GGA.

```
8
Lattice="4.744 0.000 0.000 0.000 4.744 0.000 2.372 2.372 10.150" Properties=species:S:1:pos:R:3 pbc="T T T"
Ca 3.618 1.186 2.537
Ca 1.125 3.558 2.537
Ca 3.558 3.497 7.612
Ca 5.929 5.990 7.612
Si 0.000 0.000 0.000
Si 4.744 2.372 5.075
Al 2.372 2.372 0.000
Al 2.372 4.744 5.075
```

Summary:
Density of states at the Fermi level, states/eV/atom: 0.63
SG: I-42d (122)

Entry 4:
Here is NdDyHoAl after structural relaxation from the Alexandria database. Energies are from PBE-GGA.

```
4
Lattice="5.397 0.000 0.000 2.698 4.674 0.000 2.698 1.558 4.406" Properties=species:S:1:pos:R:3 pbc="T T T"
Al 2.698 1.558 1.102
Nd 5.397 3.116 2.203
Ho 8.095 4.674 3.305
Dy 0.000 0.000 0.000
```

Summary:
Density of states at the Fermi level, states/eV/atom: 1.78
Distance to the lowest polymorph of the same formula, meV/atom: 140
SG: F-43m (216)
DFT formation energy, eV per atom: -0.05

Entry 5:
Here is AgIr2Au after structural relaxation from the Alexandria database. Energies are from PBE-GGA.

```
4
Lattice="4.842 -0.008 0.000 1.469 4.614 0.000 -3.156 -2.303 2.861" Properties=species:S:1:pos:R:3 pbc="T T T"
Ir 0.000 0.000 0.000
Ir 0.735 2.307 1.431
Au 2.421 -0.004 1.431
Ag 3.156 2.303 0.000
```

Summary:
Density of states at the Fermi level, states/eV/atom: 1.22
Distance to the lowest polymorph of the same formula, meV/atom: 297
SG: I-4m2 (119)
DFT formation energy, eV per atom: 0.48

Entry 6:
Here is Na4Mg2Tl5 after structural relaxation from the Alexandria database. Energies are from PBE-GGA.

```
22
Lattice="-2.540 1.330 -2.052 -5.482 -0.294 6.596 5.373 18.422 5.286" Properties=species:S:1:pos:R:3 pbc="T T T"
Na 0.160 11.028 3.919
Na -2.809 8.430 5.911
Na -0.617 17.615 9.150
Na -2.032 1.843 0.681
Na 0.944 16.274 6.348
Na -3.593 3.184 3.482
Na -2.917 12.287 8.544
Na 0.268 7.171 1.286
Mg -2.069 6.181 3.537
Mg -0.580 13.277 6.293
Mg -5.417 3.951 6.238
Mg 2.768 15.507 3.593
Tl -2.741 -0.147 3.298
Tl 2.687 9.211 2.643
Tl -0.198 3.847 2.738
Tl 0.089 14.282 9.144
Tl -2.538 5.074 6.430
Tl 2.430 13.055 5.452
Tl 0.327 7.840 4.676
Tl -0.435 10.288 7.206
Tl -4.364 1.010 6.057
Tl 4.255 17.118 5.825
```

Summary:
Density of states at the Fermi level, states/eV/atom: 0.44
SG: Pbam (55)
DFT formation energy, eV per atom: -0.09

Entry 7:
Here is Ta2GaAg after structural relaxation from the Alexandria database. Energies are from PBE-GGA.

```
8
Lattice="7.370 0.000 0.000 0.000 7.370 0.000 3.685 3.685 2.731" Properties=species:S:1:pos:R:3 pbc="T T T"
Ga 3.685 3.685 0.000
Ga 3.685 7.370 1.365
Ag 0.000 0.000 0.000
Ag 7.370 3.685 1.365
Ta 5.453 1.843 0.683
Ta 1.917 5.528 0.683
Ta 5.528 5.602 2.048
Ta 9.213 9.139 2.048
```

Summary:
Density of states at the Fermi level, states/eV/atom: 0.48
SG: I-42d (122)
DFT formation energy, eV per atom: 0.56

Entry 8:
Here is Ce2TiAlO6 after structural relaxation from the Alexandria database. Energies are from PBE-GGA.

```
10
Lattice="3.869 0.000 0.000 0.000 3.869 0.000 0.000 0.000 7.745" Properties=species:S:1:pos:R:3 pbc="T T T"
Ce 0.000 0.000 5.751
Ce 0.000 0.000 1.994
Ti 1.934 1.934 0.000
Al 1.934 1.934 3.872
O 1.934 0.000 0.000
O 1.934 0.000 3.872
O 0.000 1.934 0.000
O 0.000 1.934 3.872
O 1.934 1.934 5.736
O 1.934 1.934 2.009
```

Summary:
Density of states at the Fermi level, states/eV/atom: 1.47
SG: P4/mmm (123)

Entry 9:
Here is Rb2CrNiN after structural relaxation from the Alexandria database. Energies are from PBE-GGA.

```
5
Lattice="-1.806 3.253 5.256 2.539 -1.492 1.795 3.966 4.809 -1.614" Properties=species:S:1:pos:R:3 pbc="T T T"
Ni 1.270 -0.746 0.898
N 0.000 0.000 0.000
Rb 1.983 2.405 -0.807
Rb -0.903 1.626 2.628
Cr 2.350 3.285 2.719
```

Summary:
Density of states at the Fermi level, states/eV/atom: 0.35
SG: P4/mmm (123)

Entry 10:
Here is Ac4Ag3Hg after structural relaxation from the Alexandria database. Energies are from PBE-GGA.

```
8
Lattice="-0.855 -1.369 3.638 3.782 0.566 1.102 -3.603 14.840 4.736" Properties=species:S:1:pos:R:3 pbc="T T T"
Ac -3.138 12.924 4.125
Ac -0.465 1.916 0.612
Ac -1.353 5.575 1.779
Ac -2.249 9.265 2.957
Hg 1.463 -0.401 2.370
Ag 0.550 3.362 3.571
Ag -0.338 7.019 4.738
Ag -1.226 10.676 5.905
```

Summary:
Density of states at the Fermi level, states/eV/atom: 0.57
Distance to the lowest polymorph of the same formula, meV/atom: 0
SG: P4/mmm (123)
DFT formation energy, eV per atom: -0.32

Entry 11:
Here is YBe17Ni after structural relaxation from the Alexandria database. Energies are from PBE-GGA.

```
19
Lattice="5.617 0.008 0.671 0.597 5.586 0.671 0.008 0.008 5.657" Properties=species:S:1:pos:R:3 pbc="T T T"
Y 4.087 3.678 4.597
Be 1.645 0.066 4.179
Be 4.123 1.629 0.726
Be 0.480 3.929 2.123
Be 2.052 3.929 0.726
Be 0.238 1.629 4.179
Be 3.958 0.066 2.123
Be 2.436 4.882 2.740
Be 2.122 1.910 5.397
Be 5.111 1.910 2.740
Be 3.772 0.915 4.243
Be 4.061 3.655 1.794
Be 1.306 3.655 4.243
Be 5.889 2.850 6.625
Be 6.174 5.558 4.205
Be 3.452 5.558 6.625
Be 5.641 5.077 6.345
Be 0.625 0.563 0.703
Ni 1.943 1.749 2.186
```

Summary:
Density of states at the Fermi level, states/eV/atom: 0.19
SG: R3m (160)
DFT formation energy, eV per atom: -0.05

Entry 12:
Here is Rb2SrBr after structural relaxation from the Alexandria database. Energies are from PBE-GGA.

```
8
Lattice="12.808 0.000 0.000 0.000 12.808 0.000 6.404 6.404 3.133" Properties=species:S:1:pos:R:3 pbc="T T T"
Sr 0.000 0.000 0.000
Sr 12.808 6.404 1.566
Br 6.404 6.404 0.000
Br 6.404 12.808 1.566
Rb 8.035 3.202 0.783
Rb 4.773 9.606 0.783
Rb 9.606 11.177 2.350
Rb 16.010 14.440 2.350
```

Summary:
Density of states at the Fermi level, states/eV/atom: 0.78
Distance to the lowest polymorph of the same formula, meV/atom: 105
SG: I-42d (122)

The total DFT energy (no corrections) results, record by record, are as follows: -44.26, -17.70, -11.90, -17.91, -21.94, -21.28, -27.35, -84.34, -22.82, -27.85, -76.59, -7.71 eV/f.u..